Sm3ZnGe2 | PBE | optimized geometry

a = 11.7388 Å, b = 4.3023 Å, c = 11.8255 Å
α = 90.00°, β = 90.00°, γ = 90.00°
Space group Pnma (No. 62)
Inequivalent atoms, fractional coordinates:
Sm  0.0577  0.2500  0.1223
Sm  0.1266  0.7500  0.5643
Sm  0.2021  0.2500  0.8038
Zn  0.1379  0.2500  0.3621
Ge  0.0219  0.7500  0.3193
Ge  0.1869  0.7500  0.9982

## Properties
magnetization = 0.0 μB/f.u.
ΔE to the lowest computed polymorph = 0 meV per atom
DFT total energy = -0.35282 Ry per atom